# LiCaThZn

LiCaThZn after structural relaxation (PBE, Alexandria via LeMat-Bulk).

Computed properties:
Space-group type: F-43m, No. 216
Formation energy from the elements: 0.057 eV per atom
DFT total energy: -3.096 eV/atom
Total magnetic moment: 0.00 μB/f.u.

a b c (Å): 5.246 5.246 5.246
angles (deg): 60.00 60.00 60.00
Sites, in units of the cell vectors:
Li  0.000  0.000  0.000
Ca  0.750  0.750  0.750
Th  0.250  0.250  0.250
Zn  0.500  0.500  0.500